This record from the Alexandria database describes La2GaCoO6 after structural relaxation. The functional is PBE+U.

```
10
Lattice="5.444 -0.020 -0.014 2.653 4.754 -0.014 2.653 1.551 4.494" Properties=species:S:1:pos:R:3 pbc="T T T"
La 2.677 1.565 1.112
La 8.073 4.720 3.354
Ga 5.375 3.143 2.233
Co 0.000 0.000 0.000
O 6.574 4.244 1.083
O 5.333 4.543 3.651
O 6.923 2.223 3.088
O 5.417 1.743 0.815
O 3.827 4.062 1.378
O 4.175 2.041 3.383
```

Calculated values
Calculated density (g cm⁻³): 7.1
Electronic total energy (eV per atom): -7.216
Crystal system: trigonal